Below is an optimized crystal structure of CoReAs2, with properties calculated at the GGA-PBEsol level.

Cell and atoms, written as POSCAR:
```
CoReAs2
1.0
2.8885 -3.9479 0.0000
2.8885 3.9479 0.0000
-1.5202 0.0000 2.5484
Co Re As
1 1 2
Direct
0.0000 0.0000 0.0000
0.5000 0.5000 0.0000
0.0000 0.5000 0.0000
0.5000 0.0000 0.0000
```

Output
Magnetic moment ... 0.16 μB per formula unit
Energy relative to the elements ... 504 meV per atom

Below is an optimized crystal structure of Li2PtSe, with properties calculated at the GGA-PBEsol level.

Cell and atoms, written as POSCAR:
```
Li2PtSe
1.0
4.1128 -1.4355 0.0000
4.1128 1.4355 0.0000
-0.8644 0.0000 4.9474
Li Pt Se
2 1 1
Direct
0.2484 0.2484 0.2538
0.7516 0.7516 0.7462
0.0000 0.0000 0.5000
0.5000 0.5000 0.0000
```

Output
Total energy ... -16.77 eV per cell
Magnetic moment ... 0.00 μB per formula unit

Below is an optimized crystal structure of YIn5Rh, with properties calculated at the GGA-PBEsol level.

Cell and atoms, written as POSCAR:
```
YIn5Rh
1.0
4.5816 0.0000 0.0000
0.0000 4.5816 0.0000
0.0000 0.0000 7.3627
Y In Rh
1 5 1
Direct
0.0000 0.0000 0.0000
0.0000 0.5000 0.3001
0.0000 0.5000 0.6999
0.5000 0.0000 0.3001
0.5000 0.0000 0.6999
0.5000 0.5000 0.0000
0.0000 0.0000 0.5000
```

Output
Magnetic moment ... 0.00 μB per formula unit
Energy relative to the elements ... -472 meV per atom

Below is an optimized crystal structure of GdCo4B, with properties calculated at the GGA-PBEsol level.

Cell and atoms, written as POSCAR:
```
GdCo4B
1.0
4.9422 0.0000 0.0000
-2.4711 4.2801 0.0000
0.0000 0.0000 6.7436
Gd Co B
2 8 2
Direct
0.0000 0.0000 0.0000
0.0000 0.0000 0.5000
0.0000 0.5000 0.2135
0.0000 0.5000 0.7865
0.3333 0.6667 0.5000
0.5000 0.0000 0.2135
0.5000 0.0000 0.7865
0.5000 0.5000 0.2135
0.5000 0.5000 0.7865
0.6667 0.3333 0.5000
0.3333 0.6667 0.0000
0.6667 0.3333 0.0000
```

Output
Magnetic moment ... 3.61 μB per formula unit
Energy relative to the elements ... -318 meV per atom

Below is an optimized crystal structure of BaYFe2O5, with properties calculated at the GGA-PBEsol level.

Cell and atoms, written as POSCAR:
```
BaYFe2O5
1.0
3.8575 0.0000 0.0000
0.0000 3.8575 0.0000
0.0000 0.0000 7.2797
Ba Y Fe O
1 1 2 5
Direct
0.0000 0.0000 0.0000
0.0000 0.0000 0.5000
0.5000 0.5000 0.2771
0.5000 0.5000 0.7229
0.0000 0.5000 0.3056
0.0000 0.5000 0.6944
0.5000 0.0000 0.3056
0.5000 0.0000 0.6944
0.5000 0.5000 0.0000
```

Output
Total energy ... -73.17 eV per cell
Magnetic moment ... 7.09 μB per formula unit

Below is an optimized crystal structure of MgGeOF2, with properties calculated at the GGA-PBEsol level.

Cell and atoms, written as POSCAR:
```
MgGeOF2
1.0
3.7340 0.0000 0.0000
0.0000 3.7340 0.0000
0.0000 0.0000 4.1609
Mg Ge O F
1 1 1 2
Direct
0.0000 0.0000 0.0000
0.5000 0.5000 0.5000
0.0000 0.0000 0.5000
0.0000 0.5000 0.0000
0.5000 0.0000 0.0000
```

Output
Total energy ... -26.23 eV per cell
Magnetic moment ... 0.00 μB per formula unit